1 | DFT (GGA-PBE) results for an optimized crystal structure of Na3TlHg.

POSCAR file:
```
Na3TlHg
1.0
5.4722 0.0000 0.0000
0.0000 6.1733 0.0000
-2.6966 0.0000 8.5968
Na Tl Hg
6 2 2
direct
0.0000 0.0000 0.0000 Na
0.0000 0.5000 0.0000 Na
0.1712 0.2500 0.3433 Na
0.3748 0.2500 0.7519 Na
0.6252 0.7500 0.2481 Na
0.8288 0.7500 0.6567 Na
0.2362 0.7500 0.4711 Tl
0.7638 0.2500 0.5289 Tl
0.4327 0.7500 0.8630 Hg
0.5673 0.2500 0.1370 Hg
```

2 | DFT (GGA-PBE) results for an optimized crystal structure of Na3TlHg.

POSCAR file:
```
Na3TlHg
1.0
5.9562 0.0000 0.0000
0.0000 5.9562 0.0000
0.0000 0.0000 5.9562
Na Tl Hg
3 1 1
direct
0.0000 0.0000 0.5000 Na
0.0000 0.5000 0.0000 Na
0.5000 0.0000 0.0000 Na
0.0000 0.0000 0.0000 Tl
0.5000 0.5000 0.5000 Hg
```

We find 1 to be the most stable, with the next structure 23.9 kJ/mol of atoms higher.